VS: optimized geometry, PBE-GGA.

Its theoretical density is 3.283 Mg/m³. Its formation energy from raw total energies is -0.69 eV per atom.

The structure belongs to space group P4/m (No. 83); the cell edges are 10.006, 10.006 and 3.355 Å and the angles 90.00°, 90.00° and 90.00°. The asymmetric unit holds V at (0.038, 0.623, 0.000), V at (0.140, 0.290, 0.500), S at (0.078, 0.774, 0.500) and S at (0.187, 0.441, 0.000).